The following is a PBE calculation of crystalline PmErAu at its relaxed geometry, from Alexandria.

The polymorph energy (0 for the lowest one) comes out at 0 meV/atom. Its space group is No. 107.

```
3
Lattice="3.621 0.000 0.000 0.000 3.621 0.000 -1.810 -1.810 6.239" Properties=species:S:1:pos:R:3 pbc="T T T"
Er 0.000 0.000 3.881
Au 1.810 1.810 5.475
Pm 1.810 1.810 1.250
```